[1]
A relaxed structure of AlSbPt2, computed with GGA-PBEsol.

a = 3.3812 Å, b = 4.4861 Å, c = 4.4861 Å
α = 97.31°, β = 90.00°, γ = 90.00°
Positions (direct):
Sb (0.5000, 0.0000, 0.0000)
Al (0.5000, 0.5000, 0.5000)
Pt (0.0000, 0.5000, 0.0000)
Pt (0.0000, 0.0000, 0.5000)

Calculated values
V = 16.873 Å³ per atom
SG = No. 65
Formation energy from raw total energies = -341.5 meV/atom
E = -23.942 eV for the cell shown
Energy relative to the lowest polymorph listed for this composition = 0.126 eV/atom

[2]
A relaxed structure of MgBeW2, computed with GGA-PBEsol.

a = 2.6897 Å, b = 2.6897 Å, c = 7.9241 Å
α = 90.00°, β = 90.00°, γ = 90.00°
Positions (direct):
Be (0.5000, 0.5000, 0.0000)
Mg (0.5000, 0.5000, 0.5000)
W (0.0000, 0.0000, 0.7923)
W (0.0000, 0.0000, 0.2077)

Calculated values
V = 14.331 Å³ per atom
Energy of formation from the pure elements = 37.0 kJ/mol of atoms
SG = No. 123
E = -31.797 eV for the cell shown
Energy relative to the lowest polymorph listed for this composition = 0.000 eV/atom

[3]
A relaxed structure of Ba3MgAl, computed with GGA-PBEsol.

a = 6.4466 Å, b = 6.4466 Å, c = 6.4466 Å
α = 90.00°, β = 90.00°, γ = 90.00°
Positions (direct):
Mg (0.0000, 0.0000, 0.0000)
Ba (0.0000, 0.5000, 0.0000)
Ba (0.0000, 0.0000, 0.5000)
Ba (0.5000, 0.0000, 0.0000)
Al (0.5000, 0.5000, 0.5000)

Calculated values
V = 53.582 Å³ per atom
Energy of formation from the pure elements = 54.8 kJ/mol of atoms
SG = No. 221
E = -9.418 eV for the cell shown

[4]
A relaxed structure of LaTl2Zn, computed with GGA-PBEsol.

a = 4.6413 Å, b = 4.6413 Å, c = 4.6762 Å
α = 90.00°, β = 90.00°, γ = 90.00°
Positions (direct):
Tl (0.0000, 0.5000, 0.0000)
Tl (0.5000, 0.0000, 0.0000)
Zn (0.5000, 0.5000, 0.5000)
La (0.0000, 0.0000, 0.5000)

Calculated values
V = 25.183 Å³ per atom
Energy of formation from the pure elements = -27.6 kJ/mol of atoms
SG = No. 123
E = -13.332 eV for the cell shown

> What is the formula in the fourth record?

LaTl2Zn

> Which value of E does entry 2 give?

-31.797 eV for the cell shown